Here is Y2HOs after structural relaxation from Alexandria. Energies are from PBE-GGA.

Computed properties:
**Density of states at the Fermi level**: 0.758 states/eV per atom
**SG**: I-42d
**Final energy**: -6.89 eV per atom

Geometry as POSCAR:
```
Y2HOs
1.0
-3.312 3.312 3.445
3.312 -3.312 3.445
3.312 3.312 -3.445
Y H Os
4 2 2
Direct
0.057 0.625 0.932
0.375 0.307 0.432
0.693 0.125 0.068
0.875 0.943 0.568
0.000 0.000 0.000
0.750 0.250 0.500
0.250 0.750 0.500
0.500 0.500 0.000
```